The following is a GGA-PBE calculation of Tm4AgC2 after structural relaxation, from Alexandria.

## Properties
- Total DFT energy (no corrections): -0.43148 Ry per atom
- Energy relative to the elements: -0.273 eV per atom
- Spin magnetization: 1.378 μB per cell

abc: 6.300 6.300 12.840
angles: 90.00 90.00 146.63
Positions (direct):
1 Tm 0.000 0.000 0.000
2 Tm 0.000 0.000 0.500
3 Tm 0.263 0.737 0.603
4 Tm 0.263 0.737 0.897
5 Tm 0.420 0.580 0.250
6 Tm 0.580 0.420 0.750
7 Tm 0.737 0.263 0.103
8 Tm 0.737 0.263 0.397
9 Ag 0.113 0.887 0.250
10 Ag 0.887 0.113 0.750
11 C 0.365 0.635 0.061
12 C 0.365 0.635 0.439
13 C 0.635 0.365 0.561
14 C 0.635 0.365 0.939



The following is a GGA-PBE calculation of Tm2AgC after structural relaxation, from Alexandria.

## Properties
- Total DFT energy (no corrections): -0.40807 Ry per atom
- Energy relative to the elements: -0.298 eV per atom
- Spin magnetization: 0.620 μB per cell

abc: 7.533 7.533 7.533
angles: 27.60 27.60 27.60
Positions (direct):
1 Tm 0.227 0.227 0.227
2 Tm 0.773 0.773 0.773
3 Ag 0.000 0.000 0.000
4 C 0.500 0.500 0.500



The following is a GGA-PBE calculation of Tm8AgC4 after structural relaxation, from Alexandria.

## Properties
- Total DFT energy (no corrections): -0.44788 Ry per atom
- Energy relative to the elements: -0.285 eV per atom
- Spin magnetization: 0.000 μB per cell

abc: 8.839 8.839 12.231
angles: 133.73 133.73 23.37
Positions (direct):
1 Tm 0.045 0.045 0.205
2 Tm 0.316 0.316 0.463
3 Tm 0.342 0.342 0.887
4 Tm 0.352 0.352 0.168
5 Tm 0.648 0.648 0.832
6 Tm 0.658 0.658 0.113
7 Tm 0.684 0.684 0.537
8 Tm 0.955 0.955 0.795
9 Ag 0.000 0.000 0.500
10 C 0.154 0.154 0.976
11 C 0.323 0.323 0.668
12 C 0.677 0.677 0.332
13 C 0.846 0.846 0.024